Material: Sr2PdAuN2
Method: DFT, PBE
State: optimized geometry

Cell lengths 3.9149, 3.9149, 8.1391 Å; angles 90.00, 90.00, 120.00 degrees
Fractional coordinates of all 6 atoms:
Au  0.0000  0.0000  0.0000
N  0.3333  0.6667  0.0000
N  0.0000  0.0000  0.5000
Sr  0.6667  0.3333  0.7383
Sr  0.6667  0.3333  0.2617
Pd  0.3333  0.6667  0.5000

Output
The space group is P-6m2. The total energy comes out at -4.76 eV/atom.

Material: RbAu2N
Method: DFT, PBE
State: optimized geometry

Cell lengths 4.1973, 10.1755, 5.2695 Å; angles 90.00, 93.12, 90.00 degrees
Fractional coordinates of all 8 atoms:
N  0.6773  0.2500  0.2078
N  0.3227  0.7500  0.7922
Rb  0.7702  0.7500  0.4154
Rb  0.2298  0.2500  0.5846
Au  0.7636  0.0812  0.0473
Au  0.2364  0.9188  0.9527
Au  0.2364  0.5812  0.9527
Au  0.7636  0.4188  0.0473

Output
The space group is P2_1/m. The total energy comes out at -3.47 eV/atom.

Material: Re2AuN2
Method: DFT, PBE
State: optimized geometry

Cell lengths 6.5614, 6.5614, 6.5614 Å; angles 135.57, 65.79, 134.11 degrees
Fractional coordinates of all 10 atoms:
Re  0.9962  0.4306  0.8567
Re  0.4962  0.6395  0.5656
Re  0.5739  0.1395  0.1433
Re  0.0739  0.9306  0.4344
Au  0.1463  0.1463  0.0000
Au  0.6463  0.6463  0.0000
N  0.7630  0.9344  0.4353
N  0.4992  0.3278  0.5647
N  0.9992  0.4344  0.1714
N  0.2630  0.8278  0.8286

Output
The space group is Iba2. The total energy comes out at -8.42 eV/atom. As for the total magnetic moment: 0.002 μB/cell.

Material: AuS6N
Method: DFT, PBE
State: optimized geometry

Cell lengths 5.7819, 5.7819, 5.7819 Å; angles 60.00, 60.00, 60.00 degrees
Fractional coordinates of all 8 atoms:
S  0.9821  0.5179  0.9821
S  0.9821  0.5179  0.5179
S  0.5179  0.9821  0.5179
S  0.5179  0.9821  0.9821
S  0.9821  0.9821  0.5179
S  0.5179  0.5179  0.9821
N  0.2500  0.2500  0.2500
Au  0.5000  0.5000  0.5000

Output
The space group is F-43m. The total energy comes out at -3.22 eV/atom.

Material: Sc4AuSN2
Method: DFT, PBE
State: optimized geometry

Cell lengths 3.3060, 3.3060, 12.7978 Å; angles 90.00, 90.00, 120.00 degrees
Fractional coordinates of all 8 atoms:
Sc  0.6667  0.3333  0.8292
Sc  0.0000  0.0000  0.3613
Sc  0.0000  0.0000  0.6387
Sc  0.6667  0.3333  0.1708
Au  0.0000  0.0000  0.0000
N  0.3333  0.6667  0.7297
N  0.3333  0.6667  0.2703
S  0.6667  0.3333  0.5000

Output
The space group is P-6m2. The total energy comes out at -7.72 eV/atom. As for the total magnetic moment: 0.000 μB/cell.

Material: Sc4AuSN2
Method: DFT, PBE
State: optimized geometry

Cell lengths 3.3060, 3.3060, 12.7977 Å; angles 90.00, 90.00, 120.00 degrees
Fractional coordinates of all 8 atoms:
Au  0.0000  0.0000  0.5000
Sc  0.0000  0.0000  0.1387
Sc  0.3333  0.6667  0.3292
Sc  0.3333  0.6667  0.6708
Sc  0.0000  0.0000  0.8613
N  0.6667  0.3333  0.2297
N  0.6667  0.3333  0.7703
S  0.3333  0.6667  0.0000

Output
The space group is P-6m2. The total energy comes out at -7.72 eV/atom. As for the total magnetic moment: 0.001 μB/cell.

Material: W4AuSN2
Method: DFT, PBE
State: optimized geometry

Cell lengths 2.8793, 2.8793, 14.4260 Å; angles 90.00, 90.00, 120.00 degrees
Fractional coordinates of all 8 atoms:
W  0.0000  0.0000  0.3686
W  0.0000  0.0000  0.6314
W  0.6667  0.3333  0.8320
W  0.6667  0.3333  0.1680
N  0.3333  0.6667  0.2658
N  0.3333  0.6667  0.7342
Au  0.0000  0.0000  0.0000
S  0.6667  0.3333  0.5000

Output
The space group is P-6m2. The total energy comes out at -9.25 eV/atom. As for the total magnetic moment: 0.000 μB/cell.

Material: Y4AuSN2
Method: DFT, PBE
State: optimized geometry

Cell lengths 3.5909, 3.5909, 13.5228 Å; angles 90.00, 90.00, 120.00 degrees
Fractional coordinates of all 8 atoms:
Y  0.6667  0.3333  0.8394
Y  0.0000  0.0000  0.3602
Y  0.6667  0.3333  0.1606
Y  0.0000  0.0000  0.6398
N  0.3333  0.6667  0.2699
N  0.3333  0.6667  0.7301
S  0.6667  0.3333  0.5000
Au  0.0000  0.0000  0.0000

Output
The space group is P-6m2. The total energy comes out at -7.72 eV/atom. As for the total magnetic moment: 0.001 μB/cell.

Material: Zr4AuSN2
Method: DFT, PBE
State: optimized geometry

Cell lengths 3.3486, 3.3486, 13.0495 Å; angles 90.00, 90.00, 120.00 degrees
Fractional coordinates of all 8 atoms:
Zr  0.6667  0.3333  0.1710
Zr  0.0000  0.0000  0.6396
Zr  0.0000  0.0000  0.3604
Zr  0.6667  0.3333  0.8290
N  0.3333  0.6667  0.7380
N  0.3333  0.6667  0.2620
S  0.6667  0.3333  0.5000
Au  0.0000  0.0000  0.0000

Output
The space group is P-6m2. The total energy comes out at -8.62 eV/atom. As for the total magnetic moment: 0.003 μB/cell.

Material: Zr4AuSN2
Method: DFT, PBE
State: optimized geometry

Cell lengths 3.3486, 3.3486, 13.0495 Å; angles 90.00, 90.00, 120.00 degrees
Fractional coordinates of all 8 atoms:
Zr  0.3333  0.6667  0.1396
Zr  0.6667  0.3333  0.6710
Zr  0.3333  0.6667  0.8604
Zr  0.6667  0.3333  0.3290
Au  0.3333  0.6667  0.5000
N  0.0000  0.0000  0.2380
N  0.0000  0.0000  0.7620
S  0.6667  0.3333  0.0000

Output
The space group is P-6m2. The total energy comes out at -8.62 eV/atom. As for the total magnetic moment: 0.003 μB/cell.

Material: SbAuN
Method: DFT, PBE
State: optimized geometry

Cell lengths 12.0046, 12.0046, 3.0939 Å; angles 90.19, 90.19, 22.05 degrees
Fractional coordinates of all 6 atoms:
Au  0.2836  0.2836  0.5010
Au  0.7164  0.7164  0.4990
N  0.4763  0.4763  0.9997
N  0.5237  0.5237  0.0003
Sb  0.1566  0.1566  0.4974
Sb  0.8434  0.8434  0.5026

Output
The space group is C2/m. The total energy comes out at -5.17 eV/atom.

Material: Sc4SbAuN2
Method: DFT, PBE
State: optimized geometry

Cell lengths 3.2986, 3.2986, 13.9098 Å; angles 90.00, 90.00, 120.00 degrees
Fractional coordinates of all 8 atoms:
Sc  0.6667  0.3333  0.6573
Sc  0.3333  0.6667  0.1691
Sc  0.3333  0.6667  0.8309
Sc  0.6667  0.3333  0.3427
Sb  0.6667  0.3333  0.0000
N  0.0000  0.0000  0.2505
N  0.0000  0.0000  0.7495
Au  0.3333  0.6667  0.5000

Output
The space group is P-6m2. The total energy comes out at -7.42 eV/atom. As for the total magnetic moment: 0.004 μB/cell.